Entry 1:
The following is a DFT calculation (PBE-GGA) of a relaxed structure of AcLaEuAg.

The structure belongs to space group F-43m (No. 216); the cell edges are 8.1223, 8.1223 and 8.1223 Å and the angles 90.00°, 90.00° and 90.00°. The inequivalent atoms are Ac at (0.0000, 0.0000, 0.0000), La at (0.2500, 0.2500, 0.7500), Eu at (0.2500, 0.2500, 0.2500) and Ag at (0.0000, 0.0000, 0.5000).

The calculated formation energy comes out at 149 meV per atom. The total moment comes out at 33.124 μB per cell. The value obtained for the total energy is -5.39 eV/atom.

---

Entry 2:
The following is a DFT calculation (PBE-GGA) of a relaxed structure of NaAcEuAg.

The structure belongs to space group F-43m (No. 216); the cell edges are 8.0894, 8.0894 and 8.0894 Å and the angles 90.00°, 90.00° and 90.00°. The inequivalent atoms are Na at (0.0000, 0.0000, 0.0000), Ac at (0.2500, 0.2500, 0.7500), Eu at (0.2500, 0.2500, 0.2500) and Ag at (0.0000, 0.0000, 0.5000).

The calculated formation energy comes out at 10 meV per atom. The total moment comes out at 29.227 μB per cell. The value obtained for the total energy is -4.63 eV/atom.

---

Going through the records in order, we get density values of 7.756; 6.397 g/cm3.